The following is a GGA-PBE calculation of a geometry-optimized SmGa4Ni2Pd structure, from the Alexandria database.

calculated total energy: -4.701 eV per atom
SG: R-3m (166)
Fermi-level density of states: 4.4 states/eV/cell

Unit cell a=4.1586 b=4.1586 c=9.1860 alpha=76.92 beta=76.92 gamma=60.00
Last column: nearest neighbours and their distance in Å.
Fractional positions:
Sm  0.0000  0.0000  0.0000  6 Ga 3.01
Pd  0.5000  0.5000  0.5000  8 Ga 2.62-2.63
Ni  0.2312  0.2312  0.3064  7 Ga 2.49-2.78
Ni  0.7688  0.7688  0.6936  7 Ga 2.49-2.78
Ga  0.4014  0.4014  0.7957  3 Ni 2.57, 1 Pd 2.62, 3 Ga 2.86
Ga  0.8733  0.8733  0.3801  4 Ni 2.49-2.78, 3 Pd 2.63
Ga  0.1267  0.1267  0.6199  4 Ni 2.49-2.78, 3 Pd 2.63
Ga  0.5986  0.5986  0.2043  3 Ni 2.57, 1 Pd 2.62, 3 Ga 2.86